DFT (GGA-PBE) results for a relaxed structure of BeBiPt3.

Values from the calculation:
Distance to the lowest polymorph of the same formula (kcal/mol of atoms): 5.27
E_tot (eV per atom): -5.350
ΔH_f (0 K) (meV/atom): -204

a = 11.1418 Å, b = 9.2715 Å, c = 7.2691 Å
α = 90.00°, β = 114.75°, γ = 90.00°
Space group C2/c (No. 15)
Unique sites:
Be  0.0755  0.1387  0.1765 x8
Bi  0.0000  0.1654  0.7500 x4
Bi  0.0000  0.4383  0.2500 x4
Pt  0.1420  0.0868  0.5227 x8
Pt  0.1709  0.3495  0.0530 x8
Pt  0.2064  0.3709  0.6877 x8


DFT (GGA-PBE) results for a relaxed structure of AlCr2Cl.

Values from the calculation:
Formation energy from raw total energies (meV per atom): 476
Distance to the lowest polymorph of the same formula (kcal/mol of atoms): 10.58
E_tot (eV per atom): -5.733

a = 6.3806 Å, b = 7.2066 Å, c = 2.9993 Å
α = 90.00°, β = 90.26°, γ = 90.00°
Space group C2/m (No. 12)
Unique sites:
Al  0.0000  0.0000  0.0000 x2
Cr  0.2500  0.2500  0.5000 x4
Cl  0.0000  0.5000  0.0000 x2


DFT (GGA-PBE) results for a relaxed structure of BaSrRh2.

Values from the calculation:
Distance to the lowest polymorph of the same formula (kcal/mol of atoms): 5.55
E_tot (eV per atom): -4.520
ΔH_f (0 K) (meV/atom): 57

a = 3.6800 Å, b = 3.7253 Å, c = 7.3629 Å
α = 90.00°, β = 90.00°, γ = 90.00°
Space group Pmmm (No. 47)
Unique sites:
Ba  0.0000  0.0000  0.0000 x1
Sr  0.0000  0.0000  0.5000 x1
Rh  0.5000  0.5000  0.2637 x2


DFT (GGA-PBE) results for a relaxed structure of Sc4RhAu.

Values from the calculation:
Distance to the lowest polymorph of the same formula (kcal/mol of atoms): 14.91
E_tot (eV per atom): -5.848
ΔH_f (0 K) (meV/atom): 144

a = 7.7730 Å, b = 7.7730 Å, c = 7.7730 Å
α = 90.00°, β = 90.00°, γ = 90.00°
Space group F-43m (No. 216)
Unique sites:
Sc  0.1241  0.1241  0.3759 x16
Rh  0.2500  0.2500  0.7500 x4
Au  0.0000  0.0000  0.0000 x4


DFT (GGA-PBE) results for a relaxed structure of Ca2PmBr.

Values from the calculation:
Formation energy from raw total energies (meV per atom): -672
Distance to the lowest polymorph of the same formula (kcal/mol of atoms): 0.00
E_tot (eV per atom): -3.278

a = 3.8201 Å, b = 3.8201 Å, c = 31.5667 Å
α = 90.00°, β = 90.00°, γ = 120.00°
Space group R-3m (No. 166, hexagonal axes)
Unique sites:
Ca  0.0000  0.0000  0.2385 x6
Pm  0.0000  0.0000  0.0000 x3
Br  0.0000  0.0000  0.5000 x3


DFT (GGA-PBE) results for a relaxed structure of KLaGa3.

Values from the calculation:
E_tot (eV per atom): -2.652
ΔH_f (0 K) (meV/atom): 369

a = 5.8360 Å, b = 5.8360 Å, c = 5.8360 Å
α = 90.00°, β = 90.00°, γ = 90.00°
Space group Pm-3m (No. 221)
Unique sites:
K  0.0000  0.0000  0.0000 x1
La  0.5000  0.5000  0.5000 x1
Ga  0.0000  0.5000  0.5000 x3


DFT (GGA-PBE) results for a relaxed structure of K3BaNa12.

Values from the calculation:
E_tot (eV per atom): -1.274
ΔH_f (0 K) (meV/atom): 41

a = 5.6774 Å, b = 5.6774 Å, c = 22.5877 Å
α = 90.00°, β = 90.00°, γ = 90.00°
Space group P4/mmm (No. 123)
Unique sites:
K  0.0000  0.0000  0.0000 x1
K  0.0000  0.0000  0.2490 x2
Ba  0.0000  0.0000  0.5000 x1
Na  0.0000  0.5000  0.1237 x4
Na  0.0000  0.5000  0.3715 x4
Na  0.5000  0.5000  0.0000 x1
Na  0.5000  0.5000  0.2440 x2
Na  0.5000  0.5000  0.5000 x1


DFT (GGA-PBE) results for a relaxed structure of ZnTc2Cl.

Values from the calculation:
Formation energy from raw total energies (meV per atom): 459
Distance to the lowest polymorph of the same formula (kcal/mol of atoms): 11.59
E_tot (eV per atom): -5.504

a = 2.8582 Å, b = 2.8582 Å, c = 25.0595 Å
α = 90.00°, β = 90.00°, γ = 120.00°
Space group R-3m (No. 166, hexagonal axes)
Unique sites:
Zn  0.0000  0.0000  0.0000 x3
Tc  0.0000  0.0000  0.2472 x6
Cl  0.0000  0.0000  0.5000 x3


DFT (GGA-PBE) results for a relaxed structure of Ba3H5I.

Values from the calculation:
E_tot (eV per atom): -3.421

a = 4.3730 Å, b = 14.1672 Å, c = 12.7823 Å
α = 90.00°, β = 90.00°, γ = 90.00°
Space group Cmcm (No. 63)
Unique sites:
Ba  0.0000  0.0889  0.2500 x4
Ba  0.0000  0.3757  0.0355 x8
H  0.0000  0.0000  0.0000 x4
H  0.0000  0.1907  0.0652 x8
H  0.0000  0.4625  0.6442 x8
I  0.0000  0.1870  0.7500 x4


DFT (GGA-PBE) results for a relaxed structure of BaZr3Ga.

Values from the calculation:
Distance to the lowest polymorph of the same formula (kcal/mol of atoms): 28.24
E_tot (eV per atom): -4.365
ΔH_f (0 K) (meV/atom): 1753

a = 5.2892 Å, b = 5.2892 Å, c = 5.2892 Å
α = 90.00°, β = 90.00°, γ = 90.00°
Space group Pm-3m (No. 221)
Unique sites:
Ba  0.0000  0.0000  0.0000 x1
Zr  0.0000  0.0000  0.5000 x3
Ga  0.5000  0.5000  0.5000 x1


DFT (GGA-PBE) results for a relaxed structure of Te2As.

Values from the calculation:
Formation energy from raw total energies (meV per atom): 270
Distance to the lowest polymorph of the same formula (kcal/mol of atoms): 5.30
E_tot (eV per atom): -3.375

a = 6.6062 Å, b = 6.6062 Å, c = 7.4769 Å
α = 90.00°, β = 90.00°, γ = 90.00°
Space group I4/mcm (No. 140)
Unique sites:
Te  0.1618  0.3382  0.0000 x8
As  0.0000  0.0000  0.2500 x4


DFT (GGA-PBE) results for a relaxed structure of Ac2CdSi3.

Values from the calculation:
Formation energy from raw total energies (meV per atom): -503
Distance to the lowest polymorph of the same formula (kcal/mol of atoms): 0.65
E_tot (eV per atom): -4.736

a = 8.6373 Å, b = 9.3690 Å, c = 14.9426 Å
α = 90.00°, β = 90.00°, γ = 90.00°
Space group Fmmm (No. 69)
Unique sites:
Ac  0.0000  0.2424  0.0000 x8
Ac  0.2500  0.2500  0.2500 x8
Cd  0.0000  0.0000  0.3349 x8
Si  0.0000  0.0000  0.1616 x8
Si  0.2393  0.0000  0.0803 x16